one) Density functional theory data (PBE) for crystalline SbTe2PdC at its relaxed geometry.

For the mass density, the calculation gives 5.622 g/cm³.

The structure belongs to space group P4/mmm (No. 123); the cell edges are 5.3542, 5.3542 and 5.1044 Å and the angles 90.00°, 90.00° and 90.00°. The asymmetric unit holds Sb at (0.0000, 0.0000, 0.0000), Te at (0.0000, 0.5000, 0.5000), Pd at (0.0000, 0.0000, 0.5000) and C at (0.5000, 0.5000, 0.0000).

***

two) Density functional theory data (PBE) for crystalline SbTe2PdC at its relaxed geometry.

For the mass density, the calculation gives 7.766 g/cm³.

The structure belongs to space group P4/mmm (No. 123); the cell edges are 4.7715, 4.7715 and 4.6525 Å and the angles 90.00°, 90.00° and 90.00°. The asymmetric unit holds Sb at (0.0000, 0.0000, 0.0000), Te at (0.0000, 0.5000, 0.5000), Pd at (0.5000, 0.5000, 0.0000) and C at (0.0000, 0.0000, 0.5000).

***

Ranked by calculated energy, most stable first: two), one).